1.
Entry from Alexandria via LeMat-Bulk: crystalline Zn4CdGa5 at its relaxed geometry (GGA-PBE).

Results
The formation energy comes out at 0.10 eV per atom.

a = 8.0830 Å, b = 8.4167 Å, c = 5.9688 Å
α = 90.00°, β = 90.00°, γ = 90.00°
Space group Pmmn (No. 59, origin choice 2)
Symmetry-distinct sites (fractional):
Zn 0.0824 0.2500 0.1217 (multiplicity 4)
Zn 0.2500 0.0504 0.4242 (multiplicity 4)
Cd 0.2500 0.7500 0.6970 (multiplicity 2)
Ga 0.0171 0.0327 0.7643 (multiplicity 8)
Ga 0.2500 0.2500 0.7497 (multiplicity 2)

---

2.
Entry from Alexandria via LeMat-Bulk: crystalline PrPu2ZrN4 at its relaxed geometry (GGA-PBE).

Results
Its uncorrected formation energy is -1.344 eV/atom.

a = 5.9756 Å, b = 3.4581 Å, c = 6.0600 Å
α = 90.00°, β = 109.76°, γ = 90.00°
Space group P2/m (No. 10)
Symmetry-distinct sites (fractional):
Pr 0.0000 0.0000 0.0000 (multiplicity 1)
Pu 0.5000 0.0000 0.5000 (multiplicity 1)
Pu 0.5000 0.5000 0.0000 (multiplicity 1)
Zr 0.0000 0.5000 0.5000 (multiplicity 1)
N 0.2456 0.0000 0.7296 (multiplicity 2)
N 0.2594 0.5000 0.2847 (multiplicity 2)

---

The V results, record by record, are as follows: 406, 118 Å³ per cell.